1.
Density functional theory data (PBE) for CuGe2Mo after structural relaxation.

Calculated values
SG: Fm-3m, No. 225
DOS(E_F): 3.2 states/eV/f.u.

abc: 4.418 4.418 4.418
angles: 60.00 60.00 60.00
Fractional coordinates of all 4 atoms:
Mo: 0.500 0.500 0.500
Ge: 0.250 0.250 0.250
Ge: 0.750 0.750 0.750
Cu: 0.000 0.000 0.000



2.
Density functional theory data (PBE) for CuGe2Mo after structural relaxation.

Calculated values
SG: I-42d, No. 122
DOS(E_F): 6.8 states/eV/f.u.

abc: 6.785 6.785 5.559
angles: 52.39 52.39 90.00
Fractional coordinates of all 8 atoms:
Mo: 0.000 0.000 0.000
Mo: 0.750 0.250 0.500
Ge: 0.601 0.125 0.250
Ge: 0.149 0.625 0.250
Ge: 0.375 0.399 0.750
Ge: 0.875 0.851 0.750
Cu: 0.500 0.500 0.000
Cu: 0.250 0.750 0.500



Q: Which of them is the most stable? A: 1.



1.
Density functional theory data (PBE) for Cu2Ge2Mo after structural relaxation.

Calculated values
SG: I4/mmm, No. 139
DOS(E_F): 2.5 states/eV/f.u.

abc: 3.337 3.337 7.111
angles: 76.43 76.43 90.00
Fractional coordinates of all 5 atoms:
Mo: 0.000 0.000 0.000
Ge: 0.398 0.398 0.203
Ge: 0.602 0.602 0.797
Cu: 0.750 0.250 0.500
Cu: 0.250 0.750 0.500



2.
Density functional theory data (PBE) for Cu2Ge2Mo after structural relaxation.

Calculated values
SG: P4/mbm, No. 127
DOS(E_F): 2.1 states/eV/f.u.

abc: 7.054 7.054 2.935
angles: 90.00 90.00 90.00
Fractional coordinates of all 10 atoms:
Mo: 0.000 0.000 0.000
Mo: 0.500 0.500 0.000
Ge: 0.339 0.839 0.000
Ge: 0.839 0.661 0.000
Ge: 0.661 0.161 0.000
Ge: 0.161 0.339 0.000
Cu: 0.135 0.635 0.500
Cu: 0.635 0.865 0.500
Cu: 0.865 0.365 0.500
Cu: 0.365 0.135 0.500



Q: Which of them is the most stable? A: 2.



1.
Density functional theory data (PBE) for CuGeMo after structural relaxation.

Calculated values
SG: I4mm, No. 107
DOS(E_F): 3.4 states/eV/f.u.

abc: 3.088 3.088 5.044
angles: 107.82 107.82 90.00
Fractional coordinates of all 3 atoms:
Mo: 0.615 0.615 0.231
Ge: 0.294 0.294 0.588
Cu: 0.940 0.940 0.881



2.
Density functional theory data (PBE) for CuGeMo after structural relaxation.

Calculated values
SG: R-3m, No. 166
DOS(E_F): 0.9 states/eV/f.u.

abc: 4.008 4.008 7.166
angles: 73.76 73.76 60.00
Fractional coordinates of all 6 atoms:
Ge: 0.575 0.575 0.274
Ge: 0.425 0.425 0.726
Mo: 0.294 0.294 0.118
Mo: 0.706 0.706 0.882
Cu: 0.860 0.860 0.419
Cu: 0.140 0.140 0.581



Q: Which of them is the most stable? A: 2.



1.
Density functional theory data (PBE) for Cu3GeN after structural relaxation.

Calculated values
SG: Pm-3m, No. 221
DOS(E_F): 3.2 states/eV/f.u.

abc: 4.551 4.551 4.551
angles: 90.00 90.00 90.00
Fractional coordinates of all 5 atoms:
Ge: 0.000 0.000 0.000
Cu: 0.000 0.500 0.000
Cu: 0.000 0.000 0.500
Cu: 0.500 0.000 0.000
N: 0.500 0.500 0.500



2.
Density functional theory data (PBE) for Cu3GeN after structural relaxation.

Calculated values
SG: Pm-3m, No. 221
DOS(E_F): 1.6 states/eV/f.u.

abc: 3.990 3.990 3.990
angles: 90.00 90.00 90.00
Fractional coordinates of all 5 atoms:
Ge: 0.500 0.500 0.500
Cu: 0.000 0.500 0.000
Cu: 0.000 0.000 0.500
Cu: 0.500 0.000 0.000
N: 0.000 0.000 0.000



Q: Which of them is the most stable? A: 2.



1.
Density functional theory data (PBE) for NaCu3Ge2 after structural relaxation.

Calculated values
SG: C2/m, No. 12
DOS(E_F): 2.0 states/eV/f.u.

abc: 4.191 7.592 7.589
angles: 57.41 73.97 73.98
Fractional coordinates of all 12 atoms:
Na: 0.867 0.133 0.133
Na: 0.133 0.867 0.867
Cu: 0.320 0.484 0.875
Cu: 0.999 0.335 0.666
Cu: 0.680 0.124 0.516
Cu: 0.320 0.876 0.484
Cu: 0.001 0.665 0.334
Cu: 0.680 0.516 0.125
Ge: 0.500 0.172 0.828
Ge: 0.500 0.828 0.172
Ge: 0.815 0.685 0.685
Ge: 0.185 0.315 0.315



2.
Density functional theory data (PBE) for NaCu3Ge2 after structural relaxation.

Calculated values
SG: C2/m, No. 12
DOS(E_F): 1.7 states/eV/f.u.

abc: 4.075 8.034 7.291
angles: 114.37 90.00 104.69
Fractional coordinates of all 12 atoms:
Na: 0.845 0.690 0.924
Na: 0.155 0.310 0.076
Cu: 0.312 0.623 0.549
Cu: 0.980 0.959 0.646
Cu: 0.588 0.175 0.648
Cu: 0.412 0.825 0.352
Cu: 0.020 0.041 0.354
Cu: 0.688 0.377 0.451
Ge: 0.479 0.959 0.817
Ge: 0.521 0.041 0.183
Ge: 0.819 0.637 0.347
Ge: 0.181 0.363 0.653



Q: Which of them is the most stable? A: 2.



1.
Density functional theory data (PBE) for NaCuGe3 after structural relaxation.

Calculated values
SG: Pm-3m, No. 221
DOS(E_F): 2.1 states/eV/f.u.

abc: 4.807 4.807 4.807
angles: 90.00 90.00 90.00
Fractional coordinates of all 5 atoms:
Na: 0.500 0.500 0.500
Ge: 0.000 0.500 0.000
Ge: 0.000 0.000 0.500
Ge: 0.500 0.000 0.000
Cu: 0.000 0.000 0.000



2.
Density functional theory data (PBE) for NaCuGe3 after structural relaxation.

Calculated values
SG: Pmn2_1, No. 31
DOS(E_F): 1.5 states/eV/f.u.

abc: 5.744 5.741 5.796
angles: 90.00 90.00 90.00
Fractional coordinates of all 10 atoms:
Na: 0.467 0.410 0.701
Na: 0.967 0.943 0.201
Cu: 0.136 0.766 0.701
Cu: 0.636 0.586 0.201
Ge: 0.340 0.287 0.201
Ge: 0.467 0.906 0.950
Ge: 0.967 0.447 0.450
Ge: 0.840 0.066 0.701
Ge: 0.967 0.447 0.951
Ge: 0.467 0.906 0.451



Q: Which of them is the most stable? A: 2.



1.
Density functional theory data (PBE) for NaCuGe3 after structural relaxation.

Calculated values
SG: I4mm, No. 107
DOS(E_F): 0.9 states/eV/f.u.

abc: 4.262 4.262 6.151
angles: 69.72 69.74 90.00
Fractional coordinates of all 5 atoms:
Na: 0.403 0.207 0.899
Cu: 0.021 0.824 0.664
Ge: 0.644 0.948 0.417
Ge: 0.144 0.447 0.417
Ge: 0.795 0.599 0.114



2.
Density functional theory data (PBE) for NaCuGe3 after structural relaxation.

Calculated values
SG: Pm-3m, No. 221
DOS(E_F): 2.4 states/eV/f.u.

abc: 4.988 4.988 4.988
angles: 90.00 90.00 90.00
Fractional coordinates of all 5 atoms:
Na: 0.000 0.000 0.000
Ge: 0.000 0.500 0.000
Ge: 0.000 0.000 0.500
Ge: 0.500 0.000 0.000
Cu: 0.500 0.500 0.500



Q: Which of them is the most stable? A: 1.



1.
Density functional theory data (PBE) for NaCu3Ge3 after structural relaxation.

Calculated values
SG: Pm-3n, No. 223
DOS(E_F): 5.2 states/eV/f.u.

abc: 6.730 6.730 6.730
angles: 90.00 90.00 90.00
Fractional coordinates of all 14 atoms:
Na: 0.500 0.500 0.500
Na: 0.000 0.000 0.000
Ge: 0.000 0.250 0.500
Ge: 0.000 0.750 0.500
Ge: 0.500 0.000 0.750
Ge: 0.750 0.500 0.000
Ge: 0.500 0.000 0.250
Ge: 0.250 0.500 0.000
Cu: 0.250 0.000 0.500
Cu: 0.000 0.500 0.250
Cu: 0.500 0.750 0.000
Cu: 0.750 0.000 0.500
Cu: 0.000 0.500 0.750
Cu: 0.500 0.250 0.000



2.
Density functional theory data (PBE) for NaCu3Ge3 after structural relaxation.

Calculated values
SG: R-3, No. 148
DOS(E_F): 2.0 states/eV/f.u.

abc: 6.609 6.609 8.100
angles: 65.92 65.92 60.00
Fractional coordinates of all 14 atoms:
Na: 0.325 0.325 0.026
Na: 0.675 0.675 0.974
Cu: 0.479 0.655 0.653
Cu: 0.655 0.214 0.653
Cu: 0.214 0.479 0.653
Cu: 0.786 0.521 0.347
Cu: 0.345 0.786 0.347
Cu: 0.521 0.345 0.347
Ge: 0.105 0.614 0.322
Ge: 0.958 0.105 0.322
Ge: 0.614 0.958 0.322
Ge: 0.386 0.042 0.678
Ge: 0.042 0.895 0.678
Ge: 0.895 0.386 0.678



Q: Which of them is the most stable? A: 2.



1.
Density functional theory data (PBE) for Na2Cu3Ge5 after structural relaxation.

Calculated values
SG: Cmc2_1, No. 36
DOS(E_F): 2.5 states/eV/f.u.

abc: 4.265 6.784 12.330
angles: 90.00 99.96 90.00
Fractional coordinates of all 20 atoms:
Na: 0.479 0.762 0.958
Na: 0.176 0.718 0.352
Na: 0.824 0.218 0.648
Na: 0.521 0.262 0.042
Cu: 0.778 0.705 0.556
Cu: 0.609 0.523 0.219
Cu: 0.053 0.981 0.106
Cu: 0.222 0.205 0.444
Cu: 0.947 0.481 0.894
Cu: 0.391 0.023 0.781
Ge: 0.402 0.391 0.803
Ge: 0.293 0.503 0.586
Ge: 0.707 0.003 0.414
Ge: 0.118 0.277 0.236
Ge: 0.294 0.908 0.588
Ge: 0.948 0.097 0.896
Ge: 0.706 0.408 0.412
Ge: 0.882 0.777 0.764
Ge: 0.052 0.597 0.104
Ge: 0.598 0.891 0.197



2.
Density functional theory data (PBE) for Na2Cu3Ge5 after structural relaxation.

Calculated values
SG: Ibam, No. 72
DOS(E_F): 3.5 states/eV/f.u.

abc: 5.787 8.473 8.473
angles: 79.08 70.03 70.03
Fractional coordinates of all 20 atoms:
Na: 0.131 0.611 0.127
Na: 0.631 0.127 0.611
Na: 0.869 0.389 0.873
Na: 0.369 0.873 0.389
Cu: 0.369 0.501 0.760
Cu: 0.869 0.760 0.501
Cu: 0.631 0.499 0.240
Cu: 0.131 0.240 0.499
Cu: 0.250 0.000 0.000
Cu: 0.750 0.000 0.000
Ge: 0.390 0.258 0.962
Ge: 0.890 0.962 0.258
Ge: 0.610 0.742 0.038
Ge: 0.110 0.038 0.742
Ge: 0.490 0.760 0.760
Ge: 0.510 0.240 0.240
Ge: 0.750 0.500 0.500
Ge: 0.250 0.500 0.500
Ge: 0.010 0.240 0.240
Ge: 0.990 0.760 0.760



Q: Which of them is the most stable? A: 2.



1.
Density functional theory data (PBE) for NaCu3Ge after structural relaxation.

Calculated values
SG: Pm-3m, No. 221
DOS(E_F): 1.7 states/eV/f.u.

abc: 4.575 4.575 4.575
angles: 90.00 90.00 90.00
Fractional coordinates of all 5 atoms:
Na: 0.000 0.000 0.000
Ge: 0.500 0.500 0.500
Cu: 0.000 0.500 0.000
Cu: 0.000 0.000 0.500
Cu: 0.500 0.000 0.000



2.
Density functional theory data (PBE) for NaCu3Ge after structural relaxation.

Calculated values
SG: Pm-3m, No. 221
DOS(E_F): 0.6 states/eV/f.u.

abc: 4.607 4.607 4.607
angles: 90.00 90.00 90.00
Fractional coordinates of all 5 atoms:
Na: 0.500 0.500 0.500
Ge: 0.000 0.000 0.000
Cu: 0.000 0.500 0.000
Cu: 0.000 0.000 0.500
Cu: 0.500 0.000 0.000



Q: Which of them is the most stable? A: 2.



1.
Density functional theory data (PBE) for NaZnCuGe2 after structural relaxation.

Calculated values
SG: I-4m2, No. 119
DOS(E_F): 1.6 states/eV/f.u.

abc: 4.133 4.133 6.154
angles: 109.62 109.62 90.00
Fractional coordinates of all 5 atoms:
Na: 0.000 0.000 0.000
Zn: 0.250 0.750 0.500
Cu: 0.750 0.250 0.500
Ge: 0.616 0.616 0.231
Ge: 0.384 0.384 0.769



2.
Density functional theory data (PBE) for NaZnCuGe2 after structural relaxation.

Calculated values
SG: P4/mmm, No. 123
DOS(E_F): 3.0 states/eV/f.u.

abc: 4.890 4.686 4.890
angles: 90.00 90.00 90.00
Fractional coordinates of all 5 atoms:
Na: 0.500 0.500 0.500
Ge: 0.000 0.000 0.500
Ge: 0.500 0.000 0.000
Zn: 0.000 0.000 0.000
Cu: 0.000 0.500 0.000



Q: Which of them is the most stable? A: 1.



1.
Density functional theory data (PBE) for NbCu3Ge after structural relaxation.

Calculated values
SG: Pm-3m, No. 221
DOS(E_F): 4.3 states/eV/f.u.

abc: 4.366 4.366 4.366
angles: 90.00 90.00 90.00
Fractional coordinates of all 5 atoms:
Nb: 0.500 0.500 0.500
Ge: 0.000 0.000 0.000
Cu: 0.000 0.500 0.000
Cu: 0.000 0.000 0.500
Cu: 0.500 0.000 0.000



2.
Density functional theory data (PBE) for NbCu3Ge after structural relaxation.

Calculated values
SG: Pm-3m, No. 221
DOS(E_F): 6.2 states/eV/f.u.

abc: 4.776 4.776 4.776
angles: 90.00 90.00 90.00
Fractional coordinates of all 5 atoms:
Nb: 0.000 0.000 0.000
Ge: 0.500 0.500 0.500
Cu: 0.000 0.500 0.000
Cu: 0.000 0.000 0.500
Cu: 0.500 0.000 0.000



Q: Which of them is the most stable? A: 1.